Below is an optimized crystal structure of PuHfCuOs, with properties calculated at the PBE-GGA level.

a b c (Å): 4.7188 4.7188 4.7188
angles (deg): 60.00 60.00 60.00
Sites, in units of the cell vectors:
Hf1 0.2500 0.2500 0.2500
Os1 0.0000 0.0000 0.0000
Cu1 0.5000 0.5000 0.5000
Pu1 0.7500 0.7500 0.7500

Values from the calculation:
SG: F-43m, No. 216
E: -40.0 eV per cell
DFT formation energy: -2.2 kcal/mol of atoms
Crystal system: cubic